# 1
Entry from Alexandria: NdTm5Sn6 after structural relaxation (PBE).

abc: 8.214 8.214 7.362
angles: 95.19 95.19 136.56
Element x y z (fractional)
Nd (0.000, 0.000, 0.000)
Tm (0.000, 0.000, 0.500)
Tm (0.327, 0.673, 0.000)
Tm (0.344, 0.656, 0.500)
Tm (0.656, 0.344, 0.500)
Tm (0.673, 0.327, 0.000)
Sn (0.163, 0.822, 0.266)
Sn (0.178, 0.837, 0.734)
Sn (0.484, 0.484, 0.765)
Sn (0.516, 0.516, 0.235)
Sn (0.822, 0.163, 0.266)
Sn (0.837, 0.178, 0.734)

Values from the calculation:
**Energy of formation from the pure elements**: -582 meV/atom
**V**: 27.60 A^3/atom

***

# 2
Entry from Alexandria: Nd2Tm8Sn after structural relaxation (PBE).

abc: 9.754 9.754 5.679
angles: 92.59 92.59 40.08
Element x y z (fractional)
Nd (0.222, 0.222, 0.256)
Nd (0.778, 0.778, 0.744)
Tm (0.052, 0.052, 0.227)
Tm (0.121, 0.638, 0.262)
Tm (0.332, 0.332, 0.771)
Tm (0.362, 0.879, 0.738)
Tm (0.638, 0.121, 0.262)
Tm (0.668, 0.668, 0.229)
Tm (0.879, 0.362, 0.738)
Tm (0.948, 0.948, 0.773)
Sn (0.500, 0.500, 0.000)

Values from the calculation:
**Energy of formation from the pure elements**: 21 meV/atom
**V**: 31.58 A^3/atom

***

# 3
Entry from Alexandria: NdTm7Sn4 after structural relaxation (PBE).

abc: 7.335 7.335 10.911
angles: 120.81 120.81 45.13
Element x y z (fractional)
Nd (0.000, 0.000, 0.000)
Tm (0.060, 0.060, 0.377)
Tm (0.213, 0.213, 0.887)
Tm (0.331, 0.331, 0.408)
Tm (0.500, 0.500, 0.000)
Tm (0.669, 0.669, 0.592)
Tm (0.787, 0.787, 0.113)
Tm (0.940, 0.940, 0.623)
Sn (0.301, 0.301, 0.676)
Sn (0.427, 0.427, 0.223)
Sn (0.573, 0.573, 0.777)
Sn (0.699, 0.699, 0.324)

Values from the calculation:
**Energy of formation from the pure elements**: -201 meV/atom
**V**: 28.84 A^3/atom

***

# 4
Entry from Alexandria: NdTm4Sn2 after structural relaxation (PBE).

abc: 10.842 10.842 10.842
angles: 26.62 26.62 26.62
Element x y z (fractional)
Nd (0.000, 0.000, 0.000)
Tm (0.201, 0.201, 0.201)
Tm (0.393, 0.393, 0.393)
Tm (0.607, 0.607, 0.607)
Tm (0.799, 0.799, 0.799)
Sn (0.102, 0.102, 0.102)
Sn (0.898, 0.898, 0.898)

Values from the calculation:
**Energy of formation from the pure elements**: -162 meV/atom
**V**: 32.21 A^3/atom

***

# 5
Entry from Alexandria: Nd8TmSn6 after structural relaxation (PBE).

abc: 8.524 8.524 8.524
angles: 66.30 66.30 66.30
Element x y z (fractional)
Nd (0.059, 0.733, 0.398)
Nd (0.166, 0.166, 0.166)
Nd (0.267, 0.602, 0.941)
Nd (0.398, 0.059, 0.733)
Nd (0.602, 0.941, 0.267)
Nd (0.733, 0.398, 0.059)
Nd (0.834, 0.834, 0.834)
Nd (0.941, 0.267, 0.602)
Tm (0.500, 0.500, 0.500)
Sn (0.107, 0.432, 0.760)
Sn (0.240, 0.893, 0.568)
Sn (0.432, 0.760, 0.107)
Sn (0.568, 0.240, 0.893)
Sn (0.760, 0.107, 0.432)
Sn (0.893, 0.568, 0.240)

Values from the calculation:
**Energy of formation from the pure elements**: -560 meV/atom
**V**: 33.16 A^3/atom

***

# 6
Entry from Alexandria: Nd3TmSn4 after structural relaxation (PBE).

abc: 9.624 9.624 9.624
angles: 155.68 136.65 50.32
Element x y z (fractional)
Nd (0.000, 0.000, 0.000)
Nd (0.295, 0.795, 0.500)
Nd (0.705, 0.205, 0.500)
Tm (0.500, 0.500, 0.000)
Sn (0.078, 0.372, 0.706)
Sn (0.334, 0.628, 0.706)
Sn (0.666, 0.372, 0.294)
Sn (0.922, 0.628, 0.294)

Values from the calculation:
**Energy of formation from the pure elements**: -560 meV/atom
**V**: 31.39 A^3/atom

***

# 7
Entry from Alexandria: Nd2TmSn2 after structural relaxation (PBE).

abc: 8.092 8.092 4.585
angles: 90.00 90.00 90.00
Element x y z (fractional)
Nd (0.172, 0.328, 0.000)
Nd (0.328, 0.828, 0.000)
Nd (0.672, 0.172, 0.000)
Nd (0.828, 0.672, 0.000)
Tm (0.000, 0.000, 0.500)
Tm (0.500, 0.500, 0.500)
Sn (0.131, 0.631, 0.500)
Sn (0.369, 0.131, 0.500)
Sn (0.631, 0.869, 0.500)
Sn (0.869, 0.369, 0.500)

Values from the calculation:
**Energy of formation from the pure elements**: -712 meV/atom
**V**: 30.02 A^3/atom
**Excess energy over the best structure of this formula in the dataset**: 0.000 eV per atom

***

# 8
Entry from Alexandria: Nd2Tm2Sn3 after structural relaxation (PBE).

abc: 4.966 5.968 8.624
angles: 97.89 90.07 114.57
Element x y z (fractional)
Nd (0.129, 0.257, 0.350)
Nd (0.871, 0.743, 0.650)
Tm (0.353, 0.706, 0.066)
Tm (0.647, 0.294, 0.934)
Sn (0.000, 0.000, 0.000)
Sn (0.194, 0.389, 0.724)
Sn (0.806, 0.611, 0.276)

Values from the calculation:
**Energy of formation from the pure elements**: -524 meV/atom
**V**: 32.82 A^3/atom

***

# 9
Entry from Alexandria: NdTmSn after structural relaxation (PBE).

abc: 9.077 9.077 9.077
angles: 150.46 150.46 42.27
Element x y z (fractional)
Nd (0.176, 0.176, 0.000)
Nd (0.824, 0.824, 0.000)
Tm (0.000, 0.500, 0.500)
Tm (0.500, 0.000, 0.500)
Sn (0.369, 0.369, 0.000)
Sn (0.631, 0.631, 0.000)

Values from the calculation:
**Energy of formation from the pure elements**: -615 meV/atom
**V**: 30.23 A^3/atom
**Excess energy over the best structure of this formula in the dataset**: 0.000 eV per atom

***

# 10
Entry from Alexandria: Nd3Tm5Sn2 after structural relaxation (PBE).

abc: 10.563 10.563 10.563
angles: 105.49 85.11 144.90
Element x y z (fractional)
Nd (0.225, 0.126, 0.351)
Nd (0.250, 0.250, 0.000)
Nd (0.275, 0.626, 0.901)
Nd (0.725, 0.374, 0.099)
Nd (0.750, 0.750, 0.000)
Nd (0.775, 0.874, 0.649)
Tm (0.163, 0.397, 0.560)
Tm (0.250, 0.504, 0.254)
Tm (0.250, 0.750, 0.500)
Tm (0.250, 0.996, 0.746)
Tm (0.337, 0.897, 0.234)
Tm (0.663, 0.103, 0.766)
Tm (0.750, 0.004, 0.254)
Tm (0.750, 0.250, 0.500)
Tm (0.750, 0.496, 0.746)
Tm (0.837, 0.603, 0.440)
Sn (0.148, 0.857, 0.005)
Sn (0.352, 0.357, 0.709)
Sn (0.648, 0.643, 0.291)
Sn (0.852, 0.143, 0.995)

Values from the calculation:
**Energy of formation from the pure elements**: -98 meV/atom
**V**: 31.70 A^3/atom

***

# 11
Entry from Alexandria: Nd5Tm2Sn4 after structural relaxation (PBE).

abc: 13.636 13.636 7.538
angles: 92.15 92.15 14.93
Element x y z (fractional)
Nd (0.000, 0.000, 0.000)
Nd (0.265, 0.265, 0.774)
Nd (0.363, 0.363, 0.164)
Nd (0.637, 0.637, 0.836)
Nd (0.735, 0.735, 0.226)
Tm (0.413, 0.413, 0.695)
Tm (0.587, 0.587, 0.305)
Sn (0.170, 0.170, 0.498)
Sn (0.470, 0.470, 0.339)
Sn (0.530, 0.530, 0.661)
Sn (0.830, 0.830, 0.502)

Values from the calculation:
**Energy of formation from the pure elements**: -253 meV/atom
**V**: 32.81 A^3/atom

***

# 12
Entry from Alexandria: Nd3TmSn3 after structural relaxation (PBE).

abc: 9.592 9.592 6.316
angles: 90.00 90.00 120.00
Element x y z (fractional)
Nd (0.032, 0.692, 0.250)
Nd (0.308, 0.340, 0.250)
Nd (0.340, 0.032, 0.750)
Nd (0.660, 0.968, 0.250)
Nd (0.692, 0.660, 0.750)
Nd (0.968, 0.308, 0.750)
Tm (0.333, 0.667, 0.750)
Tm (0.667, 0.333, 0.250)
Sn (0.018, 0.669, 0.750)
Sn (0.331, 0.349, 0.750)
Sn (0.349, 0.018, 0.250)
Sn (0.651, 0.982, 0.750)
Sn (0.669, 0.651, 0.250)
Sn (0.982, 0.331, 0.250)

Values from the calculation:
**Energy of formation from the pure elements**: -430 meV/atom
**V**: 35.95 A^3/atom

***

# 13
Entry from Alexandria: Nd2TmSn2 after structural relaxation (PBE).

abc: 9.513 9.513 6.567
angles: 90.00 90.00 148.95
Element x y z (fractional)
Nd (0.000, 0.000, 0.000)
Nd (0.000, 0.000, 0.500)
Nd (0.194, 0.806, 0.751)
Nd (0.806, 0.194, 0.251)
Tm (0.398, 0.602, 0.750)
Tm (0.602, 0.398, 0.250)
Sn (0.186, 0.814, 0.251)
Sn (0.424, 0.576, 0.250)
Sn (0.576, 0.424, 0.750)
Sn (0.814, 0.186, 0.751)

Values from the calculation:
**Energy of formation from the pure elements**: -628 meV/atom
**V**: 30.66 A^3/atom
**Excess energy over the best structure of this formula in the dataset**: 0.084 eV per atom

***

# 14
Entry from Alexandria: Nd3Tm2Sn4 after structural relaxation (PBE).

abc: 7.129 7.129 9.919
angles: 115.03 115.03 37.23
Element x y z (fractional)
Nd (0.000, 0.000, 0.000)
Nd (0.377, 0.377, 0.302)
Nd (0.623, 0.623, 0.698)
Tm (0.319, 0.319, 0.652)
Tm (0.681, 0.681, 0.348)
Sn (0.069, 0.069, 0.415)
Sn (0.295, 0.295, 0.939)
Sn (0.705, 0.705, 0.061)
Sn (0.931, 0.931, 0.585)

Values from the calculation:
**Energy of formation from the pure elements**: -617 meV/atom
**V**: 30.33 A^3/atom

***

# 15
Entry from Alexandria: Nd5Tm2Sn5 after structural relaxation (PBE).

abc: 7.809 7.809 12.785
angles: 109.91 109.91 33.17
Element x y z (fractional)
Nd (0.000, 0.000, 0.000)
Nd (0.161, 0.161, 0.539)
Nd (0.225, 0.225, 0.843)
Nd (0.775, 0.775, 0.157)
Nd (0.839, 0.839, 0.461)
Tm (0.449, 0.449, 0.712)
Tm (0.551, 0.551, 0.288)
Sn (0.191, 0.191, 0.290)
Sn (0.385, 0.385, 0.075)
Sn (0.500, 0.500, 0.500)
Sn (0.615, 0.615, 0.925)
Sn (0.809, 0.809, 0.710)

Values from the calculation:
**Energy of formation from the pure elements**: -540 meV/atom
**V**: 33.23 A^3/atom

***

# 16
Entry from Alexandria: NdTmSn after structural relaxation (PBE).

abc: 8.198 4.524 9.754
angles: 90.00 90.00 90.00
Element x y z (fractional)
Nd (0.037, 0.250, 0.167)
Nd (0.463, 0.750, 0.667)
Nd (0.537, 0.250, 0.333)
Nd (0.963, 0.750, 0.833)
Tm (0.134, 0.250, 0.566)
Tm (0.366, 0.750, 0.066)
Tm (0.634, 0.250, 0.934)
Tm (0.866, 0.750, 0.434)
Sn (0.243, 0.750, 0.365)
Sn (0.257, 0.250, 0.865)
Sn (0.743, 0.750, 0.135)
Sn (0.757, 0.250, 0.635)

Values from the calculation:
**Energy of formation from the pure elements**: -592 meV/atom
**V**: 30.15 A^3/atom
**Excess energy over the best structure of this formula in the dataset**: 0.022 eV per atom

***

# 17
Entry from Alexandria: NdTm5Sn4 after structural relaxation (PBE).

abc: 9.093 9.093 7.865
angles: 102.02 102.02 28.56
Element x y z (fractional)
Nd (0.000, 0.000, 0.000)
Tm (0.000, 0.000, 0.500)
Tm (0.291, 0.291, 0.688)
Tm (0.361, 0.361, 0.277)
Tm (0.639, 0.639, 0.723)
Tm (0.709, 0.709, 0.312)
Sn (0.189, 0.189, 0.014)
Sn (0.461, 0.461, 0.713)
Sn (0.539, 0.539, 0.287)
Sn (0.811, 0.811, 0.986)

Values from the calculation:
**Energy of formation from the pure elements**: -382 meV/atom
**V**: 30.36 A^3/atom

***

# 18
Entry from Alexandria: Nd5TmSn5 after structural relaxation (PBE).

abc: 8.802 8.802 7.304
angles: 104.77 104.77 41.00
Element x y z (fractional)
Nd (0.000, 0.000, 0.000)
Nd (0.321, 0.321, 0.209)
Nd (0.345, 0.345, 0.717)
Nd (0.655, 0.655, 0.283)
Nd (0.679, 0.679, 0.791)
Tm (0.000, 0.000, 0.500)
Sn (0.162, 0.162, 0.854)
Sn (0.165, 0.165, 0.398)
Sn (0.500, 0.500, 0.500)
Sn (0.835, 0.835, 0.602)
Sn (0.838, 0.838, 0.146)

Values from the calculation:
**Energy of formation from the pure elements**: -480 meV/atom
**V**: 32.48 A^3/atom

***

# 19
Entry from Alexandria: Nd12TmSn3 after structural relaxation (PBE).

abc: 4.979 4.979 20.213
angles: 90.00 90.00 90.00
Element x y z (fractional)
Nd (0.000, 0.000, 0.000)
Nd (0.000, 0.000, 0.244)
Nd (0.000, 0.000, 0.500)
Nd (0.000, 0.000, 0.756)
Nd (0.000, 0.500, 0.122)
Nd (0.000, 0.500, 0.368)
Nd (0.000, 0.500, 0.632)
Nd (0.000, 0.500, 0.878)
Nd (0.500, 0.000, 0.122)
Nd (0.500, 0.000, 0.368)
Nd (0.500, 0.000, 0.632)
Nd (0.500, 0.000, 0.878)
Tm (0.500, 0.500, 0.500)
Sn (0.500, 0.500, 0.000)
Sn (0.500, 0.500, 0.245)
Sn (0.500, 0.500, 0.755)

Values from the calculation:
**Energy of formation from the pure elements**: -322 meV/atom
**V**: 31.32 A^3/atom

***

# 20
Entry from Alexandria: NdTmSn after structural relaxation (PBE).

abc: 5.185 5.185 5.185
angles: 60.00 60.00 60.00
Element x y z (fractional)
Nd (0.000, 0.000, 0.000)
Tm (0.500, 0.500, 0.500)
Sn (0.750, 0.750, 0.750)

Values from the calculation:
**Energy of formation from the pure elements**: -384 meV/atom
**V**: 32.86 A^3/atom
**Excess energy over the best structure of this formula in the dataset**: 0.231 eV per atom

***

# 21
Entry from Alexandria: NdTmSn after structural relaxation (PBE).

abc: 5.143 5.143 3.925
angles: 90.00 90.00 120.00
Element x y z (fractional)
Nd (0.000, 0.000, 0.000)
Tm (0.667, 0.333, 0.454)
Sn (0.333, 0.667, 0.620)

Values from the calculation:
**Energy of formation from the pure elements**: -375 meV/atom
**V**: 29.97 A^3/atom
**Excess energy over the best structure of this formula in the dataset**: 0.239 eV per atom

***

# 22
Entry from Alexandria: NdTmSn after structural relaxation (PBE).

abc: 5.785 5.785 5.745
angles: 90.00 90.00 119.05
Element x y z (fractional)
Nd (0.090, 0.910, 0.750)
Nd (0.910, 0.090, 0.250)
Tm (0.406, 0.594, 0.750)
Tm (0.594, 0.406, 0.250)
Sn (0.253, 0.747, 0.250)
Sn (0.747, 0.253, 0.750)

Values from the calculation:
**Energy of formation from the pure elements**: -430 meV/atom
**V**: 28.01 A^3/atom
**Excess energy over the best structure of this formula in the dataset**: 0.184 eV per atom